# 1
An optimized crystal structure of Ba2Na3TcO6, computed with PBE-GGA.

```
Ba2Na3TcO6
1.0
3.103 -5.686 0.000
3.103 5.686 0.000
-1.916 0.000 5.572
Ba Na Tc O
2 3 1 6
Direct
0.170 0.830 0.000
0.830 0.170 0.000
0.000 0.000 0.500
0.376 0.624 0.500
0.624 0.376 0.500
0.500 0.500 0.000
0.181 0.432 0.783
0.285 0.285 0.200
0.432 0.181 0.783
0.568 0.819 0.217
0.715 0.715 0.800
0.819 0.568 0.217
```

Properties
- DFT total energy: -5.800 eV/atom



# 2
An optimized crystal structure of Ba3NaTc2O9, computed with PBE-GGA.

```
Ba3NaTc2O9
1.0
5.837 0.000 0.000
-2.919 5.055 0.000
0.000 0.000 7.237
Ba Na Tc O
3 1 2 9
Direct
0.000 0.000 0.000
0.333 0.667 0.658
0.667 0.333 0.342
0.000 0.000 0.500
0.333 0.667 0.161
0.667 0.333 0.839
0.000 0.500 0.000
0.179 0.359 0.309
0.179 0.821 0.309
0.359 0.179 0.691
0.500 0.000 0.000
0.500 0.500 0.000
0.641 0.821 0.309
0.821 0.179 0.691
0.821 0.641 0.691
```

Properties
- DFT total energy: -6.934 eV/atom



Total magnetic moment list, top to bottom, in μB per cell: 2.000 0.000